# 1
# SmY2Sc5 (GGA-PBE, relaxed)
# **E**: -6.099 eV/atom
# **Fermi-level density of states**: 29.6 states/eV per cell
data_SmY2Sc5
_chemical_formula_sum 'Sm2 Y4 Sc10'
_symmetry_space_group_name_H-M 'I 4/m m m'
_symmetry_Int_Tables_number 139
_symmetry_space_group_name_Hall '-I 4 2'
_cell_length_a 6.835
_cell_length_b 6.835
_cell_length_c 9.357
_cell_angle_alpha 90.00
_cell_angle_beta 90.00
_cell_angle_gamma 90.00
loop_
_atom_site_label
_atom_site_fract_x
_atom_site_fract_y
_atom_site_fract_z
Sm1 0.000 0.000 0.000
Y1 0.000 0.500 0.000
Sc1 0.000 0.000 0.500
Sc2 0.250 0.250 0.250

# 2
# SmYSc2 (GGA-PBE, relaxed)
# **Relative energy among the computed polymorphs**: 27.9 meV/atom
# **Fermi-level density of states**: 5.5 states/eV per cell
data_SmYSc2
_chemical_formula_sum 'Sm1 Y1 Sc2'
_symmetry_space_group_name_H-M 'P 4/m m m'
_symmetry_Int_Tables_number 123
_symmetry_space_group_name_Hall '-P 4 2'
_cell_length_a 3.894
_cell_length_b 3.894
_cell_length_c 7.537
_cell_angle_alpha 90.00
_cell_angle_beta 90.00
_cell_angle_gamma 90.00
loop_
_atom_site_label
_atom_site_fract_x
_atom_site_fract_y
_atom_site_fract_z
Sm1 0.000 0.000 0.000
Y1 0.000 0.000 0.500
Sc1 0.500 0.500 0.252

# 3
# SmY3Sc (GGA-PBE, relaxed)
# **Relative energy among the computed polymorphs**: 0.0 meV/atom
# **Fermi-level density of states**: 15.9 states/eV per cell
data_SmY3Sc
_chemical_formula_sum 'Sm2 Y6 Sc2'
_symmetry_space_group_name_H-M 'P -1'
_symmetry_Int_Tables_number 2
_symmetry_space_group_name_Hall '-P 1'
_cell_length_a 3.526
_cell_length_b 7.852
_cell_length_c 11.695
_cell_angle_alpha 78.21
_cell_angle_beta 89.90
_cell_angle_gamma 77.14
loop_
_atom_site_label
_atom_site_fract_x
_atom_site_fract_y
_atom_site_fract_z
Sm1 0.245 0.009 0.245
Y1 0.050 0.400 0.654
Y2 0.144 0.213 0.952
Y3 0.350 0.799 0.551
Sc1 0.450 0.598 0.851

# 4
# Sm3YSc3 (GGA-PBE, relaxed)
# **Relative energy among the computed polymorphs**: 0.0 meV/atom
# **Fermi-level density of states**: 27.9 states/eV per cell
data_Sm3YSc3
_chemical_formula_sum 'Sm6 Y2 Sc6'
_symmetry_space_group_name_H-M 'P 63/m'
_symmetry_Int_Tables_number 176
_symmetry_space_group_name_Hall '-P 6c'
_cell_length_a 9.3087
_cell_length_b 9.3087
_cell_length_c 5.5323
_cell_angle_alpha 90.00
_cell_angle_beta 90.00
_cell_angle_gamma 120.00
loop_
_atom_site_label
_atom_site_fract_x
_atom_site_fract_y
_atom_site_fract_z
Sm1 0.0452 0.2467 0.2500
Y1 0.3333 0.6667 0.2500
Sc1 0.0953 0.4821 0.7500